A plane-wave DFT calculation with PBEsol was carried out for a geometry-optimized Li3OsO structure.

Cell and atoms, written as CIF:
```
data_Li3OsO
_symmetry_space_group_name_H-M 'P 1'
_symmetry_Int_Tables_number 1
_symmetry_space_group_name_Hall 'P 1'
_cell_length_a 4.790
_cell_length_b 4.790
_cell_length_c 4.790
_cell_angle_alpha 90.00
_cell_angle_beta 90.00
_cell_angle_gamma 90.00
loop_
_atom_site_label
_atom_site_type_symbol
_atom_site_fract_x
_atom_site_fract_y
_atom_site_fract_z
_atom_site_occupancy
Li1 Li 0.000 0.000 0.500 1
Li2 Li 0.000 0.500 0.000 1
Li3 Li 0.500 0.000 0.000 1
Os1 Os 0.000 0.000 0.000 1
O1 O 0.500 0.500 0.500 1
```

Properties
Formation energy (no corrections) in eV per atom: 1.38
Space-group type: Pm-3m (221)
Crystal system: cubic

A plane-wave DFT calculation with PBEsol was carried out for a geometry-optimized LiP2OsO structure.

Cell and atoms, written as CIF:
```
data_LiP2OsO
_symmetry_space_group_name_H-M 'P 1'
_symmetry_Int_Tables_number 1
_symmetry_space_group_name_Hall 'P 1'
_cell_length_a 4.443
_cell_length_b 4.443
_cell_length_c 3.036
_cell_angle_alpha 90.00
_cell_angle_beta 90.00
_cell_angle_gamma 90.00
loop_
_atom_site_label
_atom_site_type_symbol
_atom_site_fract_x
_atom_site_fract_y
_atom_site_fract_z
_atom_site_occupancy
Li1 Li 0.000 0.000 0.000 1
P1 P 0.000 0.500 0.000 1
P2 P 0.500 0.000 0.000 1
Os1 Os 0.500 0.500 0.500 1
O1 O 0.000 0.000 0.500 1
```

Properties
Formation energy (no corrections) in eV per atom: 0.68
Space-group type: P4/mmm (123)
Crystal system: tetragonal

A plane-wave DFT calculation with PBEsol was carried out for a geometry-optimized Li3PO4 structure.

Cell and atoms, written as CIF:
```
data_Li3PO4
_symmetry_space_group_name_H-M 'P 1'
_symmetry_Int_Tables_number 1
_symmetry_space_group_name_Hall 'P 1'
_cell_length_a 4.945
_cell_length_b 6.056
_cell_length_c 10.471
_cell_angle_alpha 90.00
_cell_angle_beta 90.00
_cell_angle_gamma 90.00
loop_
_atom_site_label
_atom_site_type_symbol
_atom_site_fract_x
_atom_site_fract_y
_atom_site_fract_z
_atom_site_occupancy
Li1 Li 0.194 0.012 0.164 1
Li2 Li 0.194 0.488 0.164 1
Li3 Li 0.197 0.250 0.924 1
Li4 Li 0.303 0.750 0.424 1
Li5 Li 0.306 0.512 0.664 1
Li6 Li 0.306 0.988 0.664 1
Li7 Li 0.694 0.012 0.336 1
Li8 Li 0.694 0.488 0.336 1
Li9 Li 0.697 0.250 0.576 1
Li10 Li 0.803 0.750 0.076 1
Li11 Li 0.806 0.512 0.836 1
Li12 Li 0.806 0.988 0.836 1
P1 P 0.189 0.250 0.416 1
P2 P 0.311 0.750 0.916 1
P3 P 0.689 0.250 0.084 1
P4 P 0.811 0.750 0.584 1
O1 O 0.124 0.750 0.582 1
O2 O 0.204 0.750 0.056 1
O3 O 0.209 0.541 0.845 1
O4 O 0.209 0.959 0.845 1
O5 O 0.291 0.041 0.345 1
O6 O 0.291 0.459 0.345 1
O7 O 0.296 0.250 0.556 1
O8 O 0.376 0.250 0.082 1
O9 O 0.624 0.750 0.918 1
O10 O 0.704 0.750 0.444 1
O11 O 0.709 0.541 0.655 1
O12 O 0.709 0.959 0.655 1
O13 O 0.791 0.041 0.155 1
O14 O 0.791 0.459 0.155 1
O15 O 0.796 0.250 0.944 1
O16 O 0.876 0.250 0.418 1
```

Properties
Formation energy (no corrections) in eV per atom: -2.41
Space-group type: Pnma (62)
Crystal system: orthorhombic

> The highest formation energy (no corrections) belongs to which entry?

Li3OsO

> formation energy (no corrections) of number 1 (Li3OsO)?

1.38 eV per atom